1.
The following is a DFT calculation (PBE) of a relaxed AcNd4Sb5 crystal.

Structure (CIF):
```
data_AcNd4Sb5
_chemical_formula_sum 'Ac2 Nd8 Sb10'
_space_group_name_H-M_alt 'I m m m'
_space_group_IT_number 71
_space_group_name_Hall '-I 2 2'
_cell_length_a 4.581
_cell_length_b 6.486
_cell_length_c 22.904
_cell_angle_alpha 90.00
_cell_angle_beta 90.00
_cell_angle_gamma 90.00
loop_
_atom_site_label
_atom_site_fract_x
_atom_site_fract_y
_atom_site_fract_z
Ac1 0.000 0.000 0.000
Nd1 0.000 0.000 0.203
Nd2 0.000 0.000 0.399
Sb1 0.000 0.500 0.000
Sb2 0.000 0.500 0.199
Sb3 0.000 0.500 0.395
```

Output
The value obtained for the final energy is -55.6 eV/f.u. The volume is 34.0 Å³ per atom. Its uncorrected formation energy is -1.18 eV/atom. The density of states at the Fermi level comes out at 3.80 states/eV per cell.

***

2.
The following is a DFT calculation (PBE) of a relaxed Pr6MgS8 crystal.

Structure (CIF):
```
data_Pr6MgS8
_chemical_formula_sum 'Pr18 Mg3 S24'
_space_group_name_H-M_alt 'R -3'
_space_group_IT_number 148
_space_group_name_Hall '-R 3'
_cell_length_a 8.4398
_cell_length_b 8.4398
_cell_length_c 17.4236
_cell_angle_alpha 90.00
_cell_angle_beta 90.00
_cell_angle_gamma 120.00
loop_
_atom_site_label
_atom_site_fract_x
_atom_site_fract_y
_atom_site_fract_z
Pr1 0.0014 0.3878 0.0830
Mg1 0.0000 0.0000 0.0000
S1 0.0000 0.0000 0.3279
S2 0.0052 0.7421 0.0856
```

Output
The value obtained for the final energy is -91.1 eV/f.u. The volume is 23.9 Å³ per atom. Its uncorrected formation energy is -1.86 eV/atom. The density of states at the Fermi level comes out at 13.46 states/eV per cell.

***

3.
The following is a DFT calculation (PBE) of a relaxed Pr8CoAu3I4 crystal.

Structure (CIF):
```
data_Pr8CoAu3I4
_chemical_formula_sum 'Pr24 Co3 Au9 I12'
_space_group_name_H-M_alt 'R -3 m'
_space_group_IT_number 166
_space_group_name_Hall '-R 3 2"'
_cell_length_a 8.6596
_cell_length_b 8.6596
_cell_length_c 24.2861
_cell_angle_alpha 90.00
_cell_angle_beta 90.00
_cell_angle_gamma 120.00
loop_
_atom_site_label
_atom_site_fract_x
_atom_site_fract_y
_atom_site_fract_z
Pr1 0.0000 0.0000 0.2345
Pr2 0.0232 0.5116 0.2304
Co1 0.0000 0.0000 0.5000
Au1 0.0000 0.5000 0.5000
I1 0.0000 0.0000 0.0000
I2 0.0000 0.5000 0.0000
```

Output
The value obtained for the final energy is -73.8 eV/f.u. The volume is 32.9 Å³ per atom. Its uncorrected formation energy is -0.78 eV/atom. The density of states at the Fermi level comes out at 46.37 states/eV per cell.

***

4.
The following is a DFT calculation (PBE) of a relaxed Nd4Te5H crystal.

Structure (CIF):
```
data_Nd4Te5H
_chemical_formula_sum 'Nd8 Te10 H2'
_space_group_name_H-M_alt 'C 1 2/m 1'
_space_group_IT_number 12
_cell_length_a 21.354
_cell_length_b 4.300
_cell_length_c 8.161
_cell_angle_alpha 90.00
_cell_angle_beta 112.18
_cell_angle_gamma 90.00
loop_
_space_group_symop_operation_xyz
'x,y,z'
'-x,-y,-z'
'-x,y,-z'
'x,-y,z'
'x+1/2,y+1/2,z'
'-x+1/2,-y+1/2,-z'
'-x+1/2,y+1/2,-z'
'x+1/2,-y+1/2,z'
loop_
_atom_site_label
_atom_site_fract_x
_atom_site_fract_y
_atom_site_fract_z
Nd1 0.000 0.000 0.234
Nd2 0.219 0.500 0.219
Te1 0.000 0.500 0.500
Te2 0.159 0.000 0.407
Te3 0.159 0.000 0.913
H1 0.000 0.500 0.000
```

Output
The value obtained for the final energy is -49.2 eV/f.u. The volume is 34.7 Å³ per atom. The density of states at the Fermi level comes out at 4.15 states/eV per cell.

***

5.
The following is a DFT calculation (PBE) of a relaxed Er6TlSb2Se3 crystal.

Structure (CIF):
```
data_Er6TlSb2Se3
_chemical_formula_sum 'Er12 Tl2 Sb4 Se6'
_space_group_name_H-M_alt 'C 1 2/m 1'
_space_group_IT_number 12
_cell_length_a 18.373
_cell_length_b 4.162
_cell_length_c 8.500
_cell_angle_alpha 90.00
_cell_angle_beta 103.18
_cell_angle_gamma 90.00
loop_
_space_group_symop_operation_xyz
'x,y,z'
'-x,-y,-z'
'-x,y,-z'
'x,-y,z'
'x+1/2,y+1/2,z'
'-x+1/2,-y+1/2,-z'
'-x+1/2,y+1/2,-z'
'x+1/2,-y+1/2,z'
loop_
_atom_site_label
_atom_site_fract_x
_atom_site_fract_y
_atom_site_fract_z
Er1 0.003 0.000 0.244
Er2 0.166 0.500 0.088
Er3 0.167 0.500 0.576
Tl1 0.000 0.500 0.500
Sb1 0.166 0.000 0.833
Se1 0.000 0.500 0.000
Se2 0.169 0.000 0.333
```

Output
The value obtained for the final energy is -63.4 eV/f.u. The volume is 26.4 Å³ per atom. Its uncorrected formation energy is -1.25 eV/atom. The density of states at the Fermi level comes out at 7.56 states/eV per cell.

***

6.
The following is a DFT calculation (PBE) of a relaxed Ce2EuAl crystal.

Structure (CIF):
```
data_Ce2EuAl
_chemical_formula_sum 'Ce8 Eu4 Al4'
_space_group_name_H-M_alt 'F m -3 m'
_space_group_IT_number 225
_space_group_name_Hall '-F 4 2 3'
_cell_length_a 7.640
_cell_length_b 7.640
_cell_length_c 7.640
_cell_angle_alpha 90.00
_cell_angle_beta 90.00
_cell_angle_gamma 90.00
loop_
_atom_site_label
_atom_site_fract_x
_atom_site_fract_y
_atom_site_fract_z
Ce1 0.250 0.250 0.250
Eu1 0.000 0.000 0.000
Al1 0.000 0.000 0.500
```

Output
Its energy above the most stable polymorph in this dataset is 97 meV per atom. The value obtained for the final energy is -25.7 eV/f.u. The volume is 27.9 Å³ per atom. As for the formation energy: 5.0 kJ per mole of atoms. The density of states at the Fermi level comes out at 54.58 states/eV per cell.

***

Which of these has the lowest final energy?
Pr6MgS8